1.
! CaPBr2 PBE relaxed; values from VASP
&SYSTEM
  ibrav = 0, nat = 4, ntyp = 3
/
ATOMIC_SPECIES
Ca 40.08 Ca.upf
Br 79.90 Br.upf
P 30.97 P.upf
ATOMIC_POSITIONS crystal
Ca 0.5000 0.5000 0.0000
Br 0.0000 0.0000 0.0000
Br 0.2500 0.7500 0.5000
P 0.7500 0.2500 0.5000
CELL_PARAMETERS angstrom
6.6588 -0.0024 0.0000
4.1660 5.1945 0.0000
-5.4124 -2.5961 2.8819
! Raw formation energy in eV/atom: -0.58
! Total magnetic moment in μB/cell: 0.0
! Calculated volume in Å³/cell: 99.7
! Relative energy among the computed polymorphs in meV/atom: 270
! Density in g/cm3: 3.8
! Fermi-level density of states in states/eV/f.u.: 2.05

***

2.
! CaTlZn4 PBE relaxed; values from VASP
&SYSTEM
  ibrav = 0, nat = 6, ntyp = 3
/
ATOMIC_SPECIES
Zn 65.41 Zn.upf
Tl 204.38 Tl.upf
Ca 40.08 Ca.upf
ATOMIC_POSITIONS crystal
Zn 0.3755 0.3755 0.3755
Zn 0.3755 0.3755 0.8736
Zn 0.3755 0.8736 0.3755
Zn 0.8736 0.3755 0.3755
Tl 0.0000 0.0000 0.0000
Ca 0.7500 0.7500 0.7500
CELL_PARAMETERS angstrom
-5.0192 1.3414 1.9667
-2.0630 5.0813 -0.8852
-4.2583 0.6983 -3.4983
! Total magnetic moment in μB/cell: 0.0
! Calculated volume in Å³/cell: 121.2
! Density in g/cm3: 6.9
! Energy relative to the elements in meV per atom: -122
! Fermi-level density of states in states/eV/f.u.: 2.02

***

3.
! LaCrN2 PBE relaxed; values from VASP
&SYSTEM
  ibrav = 0, nat = 4, ntyp = 3
/
ATOMIC_SPECIES
La 138.91 La.upf
N 14.01 N.upf
Cr 52.00 Cr.upf
ATOMIC_POSITIONS crystal
La 0.5000 0.5000 0.5000
N 0.7500 0.7500 0.7500
N 0.2500 0.2500 0.2500
Cr 0.0000 0.0000 0.0000
CELL_PARAMETERS angstrom
-0.1148 -0.6650 4.1255
1.9242 2.6496 2.5985
-2.2519 2.5191 2.4613
! Raw formation energy in eV/atom: 0.00
! Total magnetic moment in μB/cell: 2.9
! Calculated volume in Å³/cell: 51.7
! Density in g/cm3: 7.0
! Fermi-level density of states in states/eV/f.u.: 2.66